# 1
First-principles (PBE) data for an optimized crystal structure of LiSiHg2, as listed in the Alexandria database.

Summary:
As for the total moment: 0.000 μB per atom. The density comes out at 8.89 g/cm3. As for the crystal system: trigonal.

Lattice parameters (Å, degrees): 10.443 10.443 10.443 16.64 16.64 16.64
Fractional coordinates of all 4 atoms:
Hg (0.237, 0.237, 0.237)
Li (0.497, 0.497, 0.497)
Si (0.761, 0.761, 0.761)
Hg (0.005, 0.005, 0.005)

***

# 2
First-principles (PBE) data for an optimized crystal structure of LiSiHg2, as listed in the Alexandria database.

Summary:
As for the total moment: 0.000 μB per atom. The density comes out at 9.36 g/cm3. As for the crystal system: tetragonal.

Lattice parameters (Å, degrees): 5.004 5.004 5.004 127.03 127.03 78.20
Fractional coordinates of all 4 atoms:
Li (0.250, 0.750, 0.500)
Si (0.750, 0.250, 0.500)
Hg (0.000, 0.000, 0.000)
Hg (0.500, 0.500, 0.000)

***

# 3
First-principles (PBE) data for an optimized crystal structure of Li5SiHg2, as listed in the Alexandria database.

Summary:
As for the total moment: 0.000 μB per atom. The density comes out at 5.83 g/cm3. As for the crystal system: tetragonal.

Lattice parameters (Å, degrees): 4.615 4.615 7.008 109.22 109.22 90.00
Fractional coordinates of all 8 atoms:
Li (0.616, 0.116, 0.231)
Hg (0.249, 0.249, 0.497)
Li (0.384, 0.884, 0.769)
Hg (0.751, 0.751, 0.503)
Li (0.884, 0.384, 0.769)
Li (0.116, 0.616, 0.231)
Li (0.500, 0.500, 0.000)
Si (0.000, 0.000, 0.000)

***

# 4
First-principles (PBE) data for an optimized crystal structure of LiSiHg2, as listed in the Alexandria database.

Summary:
As for the total moment: 0.000 μB per atom. The density comes out at 9.06 g/cm3. As for the crystal system: monoclinic.

Lattice parameters (Å, degrees): 4.377 3.021 6.191 77.54 90.00 90.00
Fractional coordinates of all 4 atoms:
Hg (0.000, 0.839, 0.981)
Hg (0.500, 0.155, 0.270)
Si (0.500, 0.963, 0.715)
Li (0.000, 0.543, 0.534)

***

# 5
First-principles (PBE) data for an optimized crystal structure of LiSiHg2, as listed in the Alexandria database.

Summary:
As for the total moment: 0.000 μB per atom. The density comes out at 9.24 g/cm3. As for the crystal system: orthorhombic.

Lattice parameters (Å, degrees): 5.479 5.479 5.479 136.01 135.92 64.04
Fractional coordinates of all 4 atoms:
Li (0.501, 0.501, 0.000)
Hg (0.000, 0.000, 0.000)
Si (0.750, 0.250, 0.500)
Hg (0.250, 0.750, 0.500)

***

# 6
First-principles (PBE) data for an optimized crystal structure of Li8SiHg2, as listed in the Alexandria database.

Summary:
As for the total moment: 0.000 μB per atom. The density comes out at 4.14 g/cm3. As for the crystal system: monoclinic.

Lattice parameters (Å, degrees): 4.455 6.978 7.502 117.74 107.19 90.01
Fractional coordinates of all 11 atoms:
Li (0.283, 0.320, 0.202)
Li (0.946, 0.506, 0.525)
Li (0.749, 0.977, 0.136)
Li (0.524, 0.749, 0.682)
Hg (0.789, 0.617, 0.217)
Li (0.327, 0.890, 0.293)
Si (0.137, 0.909, 0.909)
Li (0.136, 0.525, 0.909)
Li (0.990, 0.027, 0.617)
Li (0.636, 0.172, 0.909)
Hg (0.484, 0.308, 0.601)

***

# 7
First-principles (PBE) data for an optimized crystal structure of Li3SiHg, as listed in the Alexandria database.

Summary:
As for the total moment: 0.000 μB per atom. The density comes out at 3.67 g/cm3. As for the crystal system: cubic.

Lattice parameters (Å, degrees): 4.834 4.834 4.834 90.00 90.00 90.00
Fractional coordinates of all 5 atoms:
Li (0.500, 0.000, 0.000)
Hg (0.500, 0.500, 0.500)
Li (0.000, 0.000, 0.500)
Si (0.000, 0.000, 0.000)
Li (0.000, 0.500, 0.000)

***

# 8
First-principles (PBE) data for an optimized crystal structure of LiSi2Hg2, as listed in the Alexandria database.

Summary:
As for the total moment: 0.000 μB per atom. The density comes out at 7.43 g/cm3. As for the crystal system: tetragonal.

Lattice parameters (Å, degrees): 7.411 7.411 3.780 90.00 90.00 90.00
Fractional coordinates of all 10 atoms:
Li (0.500, 0.500, 0.000)
Hg (0.316, 0.816, 0.000)
Si (0.117, 0.617, 0.500)
Hg (0.684, 0.184, 0.000)
Hg (0.184, 0.316, 0.000)
Si (0.383, 0.117, 0.500)
Si (0.617, 0.883, 0.500)
Li (0.000, 0.000, 0.000)
Hg (0.816, 0.684, 0.000)
Si (0.883, 0.383, 0.500)

***

# 9
First-principles (PBE) data for an optimized crystal structure of Li5SiHg6, as listed in the Alexandria database.

Summary:
As for the total moment: 0.000 μB per atom. The density comes out at 9.37 g/cm3. As for the crystal system: orthorhombic.

Lattice parameters (Å, degrees): 4.686 6.705 8.233 114.03 106.53 90.00
Fractional coordinates of all 12 atoms:
Hg (0.500, 0.258, 0.000)
Li (0.000, 0.500, 0.000)
Li (0.666, 0.666, 0.333)
Hg (0.171, 0.423, 0.342)
Hg (0.171, 0.919, 0.342)
Hg (0.829, 0.577, 0.658)
Hg (0.829, 0.081, 0.658)
Li (0.334, 0.334, 0.667)
Si (0.000, 0.000, 0.000)
Li (0.335, 0.835, 0.670)
Hg (0.500, 0.742, 0.000)
Li (0.665, 0.165, 0.330)

***

# 10
First-principles (PBE) data for an optimized crystal structure of Li2Si2Hg, as listed in the Alexandria database.

Summary:
As for the total moment: 0.000 μB per atom. The density comes out at 4.99 g/cm3. As for the crystal system: tetragonal.

Lattice parameters (Å, degrees): 3.935 3.935 6.446 72.23 72.23 90.00
Fractional coordinates of all 5 atoms:
Li (0.750, 0.250, 0.500)
Hg (0.000, 0.000, 0.000)
Si (0.404, 0.404, 0.193)
Li (0.250, 0.750, 0.500)
Si (0.596, 0.596, 0.807)

***

# 11
First-principles (PBE) data for an optimized crystal structure of LiSiHg2, as listed in the Alexandria database.

Summary:
As for the total moment: 0.000 μB per atom. The density comes out at 8.82 g/cm3. As for the crystal system: monoclinic.

Lattice parameters (Å, degrees): 5.877 5.595 3.073 97.58 71.08 120.70
Fractional coordinates of all 4 atoms:
Si (0.500, 0.000, 0.500)
Hg (0.000, 0.500, 0.500)
Hg (0.000, 0.000, 0.000)
Li (0.500, 0.500, 0.000)

***

# 12
First-principles (PBE) data for an optimized crystal structure of Li2SiHg, as listed in the Alexandria database.

Summary:
As for the total moment: 0.000 μB per atom. The density comes out at 5.99 g/cm3. As for the crystal system: tetragonal.

Lattice parameters (Å, degrees): 2.868 2.868 8.166 90.00 90.00 90.00
Fractional coordinates of all 4 atoms:
Li (0.000, 0.000, 0.479)
Hg (0.500, 0.500, 0.750)
Li (0.000, 0.000, 0.021)
Si (0.500, 0.500, 0.250)

***

# 13
First-principles (PBE) data for an optimized crystal structure of Li2SiHg, as listed in the Alexandria database.

Summary:
As for the total moment: 0.000 μB per atom. The density comes out at 5.94 g/cm3. As for the crystal system: monoclinic.

Lattice parameters (Å, degrees): 4.927 4.927 5.027 84.43 84.43 33.92
Fractional coordinates of all 4 atoms:
Hg (0.251, 0.251, 0.224)
Li (0.993, 0.993, 0.016)
Li (0.758, 0.758, 0.728)
Si (0.499, 0.499, 0.532)

***

# 14
First-principles (PBE) data for an optimized crystal structure of LiSiHg2, as listed in the Alexandria database.

Summary:
As for the total moment: 0.000 μB per atom. The density comes out at 9.08 g/cm3. As for the crystal system: monoclinic.

Lattice parameters (Å, degrees): 4.760 4.760 5.362 83.37 83.37 41.44
Fractional coordinates of all 4 atoms:
Li (0.502, 0.502, 0.489)
Hg (0.761, 0.761, 0.702)
Si (0.243, 0.243, 0.276)
Hg (0.994, 0.994, 0.033)

***

# 15
First-principles (PBE) data for an optimized crystal structure of Li2SiHg, as listed in the Alexandria database.

Summary:
As for the total moment: 0.000 μB per atom. The density comes out at 6.23 g/cm3. As for the crystal system: monoclinic.

Lattice parameters (Å, degrees): 4.521 4.521 4.505 120.21 120.22 90.01
Fractional coordinates of all 4 atoms:
Li (0.750, 0.250, 0.500)
Li (0.000, 0.000, 0.000)
Si (0.500, 0.500, 0.000)
Hg (0.250, 0.750, 0.500)

***

# 16
First-principles (PBE) data for an optimized crystal structure of Li2Si2Hg, as listed in the Alexandria database.

Summary:
As for the total moment: 0.000 μB per atom. The density comes out at 5.00 g/cm3. As for the crystal system: tetragonal.

Lattice parameters (Å, degrees): 8.099 8.099 2.739 90.00 90.00 90.00
Fractional coordinates of all 10 atoms:
Si (0.602, 0.898, 0.500)
Li (0.808, 0.692, 0.000)
Si (0.898, 0.398, 0.500)
Si (0.398, 0.102, 0.500)
Hg (0.000, 0.000, 0.000)
Hg (0.500, 0.500, 0.000)
Li (0.692, 0.192, 0.000)
Li (0.308, 0.808, 0.000)
Li (0.192, 0.308, 0.000)
Si (0.102, 0.602, 0.500)

***

# 17
First-principles (PBE) data for an optimized crystal structure of LiSiHg3, as listed in the Alexandria database.

Summary:
As for the total moment: 0.000 μB per atom. The density comes out at 7.55 g/cm3. As for the crystal system: cubic.

Lattice parameters (Å, degrees): 5.192 5.192 5.192 90.00 90.00 90.00
Fractional coordinates of all 5 atoms:
Li (0.500, 0.500, 0.500)
Hg (0.000, 0.000, 0.500)
Si (0.000, 0.000, 0.000)
Hg (0.000, 0.500, 0.000)
Hg (0.500, 0.000, 0.000)

***

# 18
First-principles (PBE) data for an optimized crystal structure of Li6SiHg, as listed in the Alexandria database.

Summary:
As for the total moment: 0.000 μB per atom. The density comes out at 3.40 g/cm3. As for the crystal system: orthorhombic.

Lattice parameters (Å, degrees): 4.610 5.723 5.723 119.05 90.00 90.00
Fractional coordinates of all 8 atoms:
Si (0.500, 0.416, 0.584)
Li (0.000, 0.115, 0.430)
Li (0.000, 0.573, 0.427)
Hg (0.000, 0.084, 0.916)
Li (0.000, 0.570, 0.885)
Li (0.500, 0.914, 0.086)
Li (0.500, 0.915, 0.587)
Li (0.500, 0.413, 0.085)

***

# 19
First-principles (PBE) data for an optimized crystal structure of Li2SiHg, as listed in the Alexandria database.

Summary:
As for the total moment: 0.000 μB per atom. The density comes out at 6.14 g/cm3. As for the crystal system: tetragonal.

Lattice parameters (Å, degrees): 4.877 4.877 4.877 130.49 130.45 72.65
Fractional coordinates of all 4 atoms:
Li (0.500, 0.500, 0.000)
Li (0.000, 0.000, 0.000)
Hg (0.250, 0.750, 0.500)
Si (0.750, 0.250, 0.500)

***

# 20
First-principles (PBE) data for an optimized crystal structure of LiSi2Hg2, as listed in the Alexandria database.

Summary:
As for the total moment: 0.000 μB per atom. The density comes out at 7.69 g/cm3. As for the crystal system: tetragonal.

Lattice parameters (Å, degrees): 3.444 3.444 8.792 78.70 78.70 90.00
Fractional coordinates of all 5 atoms:
Si (0.750, 0.250, 0.500)
Hg (0.599, 0.599, 0.803)
Li (0.000, 0.000, 0.000)
Si (0.250, 0.750, 0.500)
Hg (0.401, 0.401, 0.197)

***

no.,raw formation energy (eV/f.u.)
1,0.60
2,0.29
3,-2.31
4,0.24
5,0.38
6,-2.50
7,0.38
8,1.56
9,-2.80
10,0.53
11,0.47
12,-0.69
13,-0.45
14,0.44
15,-0.76
16,0.10
17,1.06
18,-1.69
19,-0.66
20,0.47